(1)
Computed, not measured: a relaxed structure of Tb3DyHo2Se6 at the PBE level of DFT.

Cell: 7.0265 12.2581 7.0833 Å, 90.00 109.44 90.00°
Space group C2/m (No. 12)
Inequivalent atoms, fractional coordinates:
Tb 0.0000 0.0000 0.0000
Tb 0.0000 0.3341 0.0000
Dy 0.0000 0.5000 0.5000
Ho 0.0000 0.1665 0.5000
Se 0.2476 0.0000 0.7465
Se 0.2504 0.1673 0.2530

Raw total energy, eV/f.u.: -69.60

(2)
Computed, not measured: a relaxed structure of Tb2DyHoSe6 at the PBE level of DFT.

Cell: 7.2152 7.2152 19.4609 Å, 90.00 90.00 120.00°
Space group R3 (No. 146, hexagonal axes)
Inequivalent atoms, fractional coordinates:
Tb 0.0000 0.0000 0.0000
Tb 0.0000 0.0000 0.4997
Dy 0.0000 0.0000 0.1964
Ho 0.0000 0.0000 0.6960
Se 0.0305 0.3593 0.7655
Se 0.0308 0.6695 0.2656

Raw total energy, eV/f.u.: -57.88

(3)
Computed, not measured: a relaxed structure of TbDy3Ho4Se8 at the PBE level of DFT.

Cell: 8.1337 8.1337 19.9461 Å, 90.00 90.00 120.00°
Space group R-3m (No. 166, hexagonal axes)
Inequivalent atoms, fractional coordinates:
Tb 0.0000 0.0000 0.0000
Dy 0.0000 0.5000 0.0000
Ho 0.0000 0.0000 0.5000
Ho 0.0000 0.5000 0.5000
Se 0.0000 0.0000 0.2493
Se 0.0009 0.5004 0.2491

Raw total energy, eV/f.u.: -92.35

(4)
Computed, not measured: a relaxed structure of TbDyHo2Se4 at the PBE level of DFT.

Cell: 7.0642 4.0210 7.0927 Å, 90.00 108.87 90.00°
Space group P2/m (No. 10)
Inequivalent atoms, fractional coordinates:
Tb 0.0000 0.0000 0.0000
Dy 0.0000 0.5000 0.5000
Ho 0.5000 0.0000 0.5000
Ho 0.5000 0.5000 0.0000
Se 0.2525 0.0000 0.7500
Se 0.2532 0.5000 0.2520

Raw total energy, eV/f.u.: -46.24

(5)
Computed, not measured: a relaxed structure of TbDy2HoSe5 at the PBE level of DFT.

Cell: 5.1265 5.1265 10.7503 Å, 90.00 90.00 90.00°
Space group P4/mmm (No. 123)
Inequivalent atoms, fractional coordinates:
Tb 0.0000 0.0000 0.0000
Dy 0.5000 0.5000 0.3409
Ho 0.0000 0.0000 0.5000
Se 0.0000 0.0000 0.2473
Se 0.0000 0.5000 0.5000
Se 0.5000 0.5000 0.0000

Raw total energy, eV/f.u.: -45.87

(6)
Computed, not measured: a relaxed structure of TbDy3Ho3Se8 at the PBE level of DFT.

Cell: 8.1036 8.1036 19.8600 Å, 90.00 90.00 120.00°
Space group R-3m (No. 166, hexagonal axes)
Inequivalent atoms, fractional coordinates:
Tb 0.0000 0.0000 0.0000
Dy 0.0000 0.5000 0.5000
Ho 0.0000 0.5000 0.0000
Se 0.0000 0.0000 0.2506
Se 0.0072 0.5036 0.2488

Raw total energy, eV/f.u.: -87.42

(7)
Computed, not measured: a relaxed structure of Tb4DyHo3Se8 at the PBE level of DFT.

Cell: 8.1479 8.1479 20.0268 Å, 90.00 90.00 120.00°
Space group R-3m (No. 166, hexagonal axes)
Inequivalent atoms, fractional coordinates:
Tb 0.0000 0.0000 0.0000
Tb 0.0000 0.5000 0.0000
Dy 0.0000 0.0000 0.5000
Ho 0.0000 0.5000 0.5000
Se 0.0000 0.0000 0.2486
Se 0.0008 0.5004 0.7512

Raw total energy, eV/f.u.: -92.67

(8)
Computed, not measured: a relaxed structure of Dy4Ho3ThSe8 at the PBE level of DFT.

Cell: 8.1828 8.1828 19.9870 Å, 90.00 90.00 120.00°
Space group R-3m (No. 166, hexagonal axes)
Inequivalent atoms, fractional coordinates:
Dy 0.0000 0.0000 0.0000
Dy 0.0000 0.5000 0.0000
Ho 0.0000 0.5000 0.5000
Th 0.0000 0.0000 0.5000
Se 0.0000 0.0000 0.2494
Se 0.0069 0.5034 0.7489

Raw total energy, eV/f.u.: -94.60

(9)
Computed, not measured: a relaxed structure of DyHo2ThSe4 at the PBE level of DFT.

Cell: 7.1229 4.0508 7.1451 Å, 90.00 108.92 90.00°
Space group P2/m (No. 10)
Inequivalent atoms, fractional coordinates:
Dy 0.0000 0.0000 0.0000
Ho 0.0000 0.5000 0.5000
Ho 0.5000 0.0000 0.5000
Th 0.5000 0.5000 0.0000
Se 0.2396 0.0000 0.7383
Se 0.2461 0.5000 0.2566

Raw total energy, eV/f.u.: -48.46

(10)
Computed, not measured: a relaxed structure of DyHoTlSe at the PBE level of DFT.

Cell: 6.7078 3.8756 8.5583 Å, 90.00 105.08 90.00°
Space group Cm (No. 8)
Inequivalent atoms, fractional coordinates:
Dy 0.0000 0.0000 0.0000
Ho 0.3074 0.5000 0.4224
Tl 0.0706 0.5000 0.7109
Se 0.4031 0.0000 0.2096

Raw total energy, eV/f.u.: -19.00

(11)
Computed, not measured: a relaxed structure of Dy3HoTl4Se8 at the PBE level of DFT.

Cell: 8.3632 8.3632 23.3247 Å, 90.00 90.00 120.00°
Space group R-3m (No. 166, hexagonal axes)
Inequivalent atoms, fractional coordinates:
Dy 0.0000 0.5000 0.0000
Ho 0.0000 0.0000 0.0000
Tl 0.0000 0.0000 0.5000
Tl 0.0000 0.5000 0.5000
Se 0.0000 0.0000 0.2653
Se 0.0010 0.5005 0.7346

Raw total energy, eV/f.u.: -77.92

(12)
Computed, not measured: a relaxed structure of DyHoTl2Se4 at the PBE level of DFT.

Cell: 7.2350 4.1771 8.1401 Å, 90.00 107.22 90.00°
Space group P2/m (No. 10)
Inequivalent atoms, fractional coordinates:
Dy 0.0000 0.0000 0.0000
Ho 0.5000 0.5000 0.0000
Tl 0.0000 0.5000 0.5000
Tl 0.5000 0.0000 0.5000
Se 0.2355 0.5000 0.2039
Se 0.2665 0.0000 0.7965

Raw total energy, eV/f.u.: -38.94

(13)
Computed, not measured: a relaxed structure of DyHo3Tm3Se8 at the PBE level of DFT.

Cell: 8.0459 8.0459 19.7278 Å, 90.00 90.00 120.00°
Space group R-3m (No. 166, hexagonal axes)
Inequivalent atoms, fractional coordinates:
Dy 0.0000 0.0000 0.0000
Ho 0.0000 0.5000 0.5000
Tm 0.0000 0.5000 0.0000
Se 0.0000 0.0000 0.2512
Se 0.0085 0.5043 0.2490

Raw total energy, eV/f.u.: -86.55

(14)
Computed, not measured: a relaxed structure of DyHo2TmSe6 at the PBE level of DFT.

Cell: 7.1599 7.1599 19.3725 Å, 90.00 90.00 120.00°
Space group R3 (No. 146, hexagonal axes)
Inequivalent atoms, fractional coordinates:
Dy 0.0000 0.0000 0.0000
Ho 0.0000 0.0000 0.3036
Ho 0.0000 0.0000 0.8047
Tm 0.0000 0.0000 0.4986
Se 0.0013 0.6967 0.4022
Se 0.0278 0.3576 0.5684

Raw total energy, eV/f.u.: -57.61

(15)
Computed, not measured: a relaxed structure of DyHo2Tm3Se6 at the PBE level of DFT.

Cell: 17.6222 4.0247 8.1160 Å, 90.00 103.87 90.00°
Space group C2/m (No. 12)
Inequivalent atoms, fractional coordinates:
Dy 0.0000 0.0000 0.0000
Ho 0.1662 0.5000 0.3324
Tm 0.0000 0.0000 0.5000
Tm 0.1661 0.5000 0.8333
Se 0.0008 0.5000 0.7464
Se 0.1660 0.0000 0.5854
Se 0.1682 0.0000 0.0812

Raw total energy, eV/f.u.: -68.41

(16)
Computed, not measured: a relaxed structure of Dy3Ho3TmSe8 at the PBE level of DFT.

Cell: 8.0955 8.0955 19.8524 Å, 90.00 90.00 120.00°
Space group R-3m (No. 166, hexagonal axes)
Inequivalent atoms, fractional coordinates:
Dy 0.0000 0.5000 0.0000
Ho 0.0000 0.5000 0.5000
Tm 0.0000 0.0000 0.5000
Se 0.0000 0.0000 0.2494
Se 0.0024 0.5012 0.7500

Raw total energy, eV/f.u.: -87.16

(17)
Computed, not measured: a relaxed structure of Dy3HoTm2Se6 at the PBE level of DFT.

Cell: 6.9729 12.1679 7.0469 Å, 90.00 109.40 90.00°
Space group C2/m (No. 12)
Inequivalent atoms, fractional coordinates:
Dy 0.0000 0.0000 0.0000
Dy 0.0000 0.3353 0.0000
Ho 0.0000 0.5000 0.5000
Tm 0.0000 0.1662 0.5000
Se 0.2456 0.0000 0.7447
Se 0.2501 0.1681 0.2540

Raw total energy, eV/f.u.: -68.83

(18)
Computed, not measured: a relaxed structure of Dy4Ho3TmSe8 at the PBE level of DFT.

Cell: 8.1158 8.1158 19.9253 Å, 90.00 90.00 120.00°
Space group R-3m (No. 166, hexagonal axes)
Inequivalent atoms, fractional coordinates:
Dy 0.0000 0.0000 0.0000
Dy 0.0000 0.5000 0.0000
Ho 0.0000 0.5000 0.5000
Tm 0.0000 0.0000 0.5000
Se 0.0000 0.0000 0.2493
Se 0.0021 0.5010 0.2488

Raw total energy, eV/f.u.: -92.05

(19)
Computed, not measured: a relaxed structure of DyHo3Tm2Se6 at the PBE level of DFT.

Cell: 6.9669 12.1570 7.0270 Å, 90.00 109.43 90.00°
Space group C2/m (No. 12)
Inequivalent atoms, fractional coordinates:
Dy 0.0000 0.0000 0.0000
Ho 0.0000 0.1634 0.5000
Ho 0.0000 0.5000 0.5000
Tm 0.0000 0.3340 0.0000
Se 0.2448 0.5000 0.2465
Se 0.2485 0.3311 0.7512

Raw total energy, eV/f.u.: -68.66

(20)
Computed, not measured: a relaxed structure of DyHo2TmSe5 at the PBE level of DFT.

Cell: 5.0913 5.0913 10.6737 Å, 90.00 90.00 90.00°
Space group P4/mmm (No. 123)
Inequivalent atoms, fractional coordinates:
Dy 0.0000 0.0000 0.0000
Ho 0.5000 0.5000 0.3398
Tm 0.0000 0.0000 0.5000
Se 0.0000 0.0000 0.2478
Se 0.0000 0.5000 0.5000
Se 0.5000 0.5000 0.0000

Raw total energy, eV/f.u.: -45.63

Volume, respectively: 23.972 29.247 23.809 23.831 31.392 25.099 23.989 24.150 24.377 26.854 29.435 29.373 24.578 28.670 23.285 25.040 23.497 23.679 23.386 30.742 A^3/atom.